Compound: Tm4InRu3
Source: the Alexandria database
Functional: PBE
Structure: optimized geometry

Structure (POSCAR):
```
Tm4InRu3
1.0
4.810 0.000 0.000
0.000 7.063 0.000
0.000 0.000 9.622
Ru Tm In
6 8 2
Direct
0.000 0.000 0.000
0.000 0.000 0.500
0.500 0.000 0.750
0.500 0.000 0.250
0.500 0.500 0.750
0.500 0.500 0.250
0.500 0.768 0.000
0.500 0.768 0.500
0.500 0.232 0.000
0.500 0.232 0.500
0.000 0.768 0.750
0.000 0.768 0.250
0.000 0.232 0.250
0.000 0.232 0.750
0.000 0.500 0.000
0.000 0.500 0.500
```

Computed properties:
DOS(E_F): 7.773 states/eV/cell
DFT formation energy: -0.432 eV/atom

Compound: FeHg
Source: the Alexandria database
Functional: PBE
Structure: optimized geometry

Structure (POSCAR):
```
FeHg
1.0
-1.316 -5.692 3.552
1.109 -6.381 2.191
3.033 -0.962 5.892
Fe Hg
3 3
Direct
0.038 0.038 0.013
0.639 0.639 0.675
0.239 0.239 0.812
0.347 0.347 0.336
0.931 0.931 0.750
0.639 0.639 0.247
```

Computed properties:
DOS(E_F): 3.355 states/eV/cell
DFT formation energy: 0.358 eV/atom

Compound: KHg2PtF8
Source: the Alexandria database
Functional: PBE
Structure: optimized geometry

Structure (POSCAR):
```
KHg2PtF8
1.0
-3.607 -2.659 -1.838
1.141 -3.912 3.888
-4.774 2.721 5.155
K Hg Pt F
1 2 1 8
Direct
0.000 0.000 0.500
0.475 0.489 0.756
0.525 0.511 0.244
0.000 0.000 0.000
0.081 0.763 0.207
0.606 0.753 0.014
0.911 0.225 0.182
0.919 0.237 0.793
0.394 0.247 0.986
0.089 0.775 0.818
0.533 0.736 0.531
0.467 0.264 0.469
```

Computed properties:
DOS(E_F): 0.048 states/eV/cell
formation energy from raw total energies: -153 kJ/mol of atoms

Compound: Pm2YThS4
Source: the Alexandria database
Functional: PBE
Structure: optimized geometry

Structure (POSCAR):
```
Pm2YThS4
1.0
3.986 0.000 0.000
0.000 6.975 0.136
0.000 -2.413 6.503
Pm Y Th S
2 1 1 4
Direct
0.500 0.000 0.500
0.000 0.500 0.500
0.000 0.000 0.000
0.500 0.500 0.000
0.500 0.242 0.243
0.500 0.758 0.757
0.000 0.245 0.752
0.000 0.755 0.248
```

Computed properties:
DOS(E_F): 3.520 states/eV/cell
formation energy from raw total energies: -190 kJ/mol of atoms

Compound: SrZnReO6
Source: the Alexandria database
Functional: PBE
Structure: optimized geometry

Structure (POSCAR):
```
SrZnReO6
1.0
5.264 -0.113 -0.063
2.534 4.615 0.062
-0.060 0.105 5.275
Sr Zn Re O
1 1 1 6
Direct
0.984 0.984 0.000
0.667 0.667 0.500
0.322 0.322 0.500
0.042 0.360 0.270
0.360 0.042 0.730
0.600 0.388 0.707
0.023 0.614 0.683
0.388 0.600 0.293
0.614 0.023 0.317
```

Computed properties:
DOS(E_F): 2.245 states/eV/cell
formation energy from raw total energies: -164 kJ/mol of atoms

Compound: MgScW
Source: the Alexandria database
Functional: PBE
Structure: optimized geometry

Structure (POSCAR):
```
MgScW
1.0
7.551 -0.007 0.006
6.896 2.782 -0.009
0.655 -0.449 2.753
Mg Sc W
1 1 1
Direct
0.009 0.009 0.991
0.322 0.322 0.678
0.669 0.669 0.331
```

Computed properties:
DOS(E_F): 2.962 states/eV/cell
DFT formation energy: 0.261 eV/atom

Compound: Hg4H5Pt2
Source: the Alexandria database
Functional: PBE
Structure: optimized geometry

Structure (POSCAR):
```
Hg4H5Pt2
1.0
-2.696 1.033 0.626
-1.515 -4.041 6.711
3.342 6.164 3.847
Hg H Pt
4 5 2
Direct
0.595 0.328 0.543
0.842 0.813 0.837
0.405 0.672 0.457
0.158 0.187 0.163
0.056 0.392 0.051
0.813 0.856 0.172
0.000 0.500 0.000
0.187 0.144 0.828
0.944 0.608 0.949
0.233 0.043 0.650
0.767 0.957 0.350
```

Computed properties:
VASP energy: -2.5736 eV/atom
DOS(E_F): 2.008 states/eV/cell

Compound: AlIrS3
Source: the Alexandria database
Functional: PBE
Structure: optimized geometry

Structure (POSCAR):
```
AlIrS3
1.0
4.668 0.000 0.000
0.000 4.668 0.000
0.000 0.000 4.668
S Ir Al
3 1 1
Direct
0.000 0.500 0.000
0.000 0.000 0.500
0.500 0.000 0.000
0.000 0.000 0.000
0.500 0.500 0.500
```

Computed properties:
DOS(E_F): 6.394 states/eV/cell
formation energy from raw total energies: 46 kJ/mol of atoms

Compound: Ga3B4Pt9
Source: the Alexandria database
Functional: PBE
Structure: optimized geometry

Structure (POSCAR):
```
Ga3B4Pt9
1.0
-2.227 -6.305 5.775
7.721 4.216 0.822
-2.849 4.478 3.790
Ga B Pt
6 8 18
Direct
0.490 0.052 0.750
0.438 0.948 0.250
0.510 0.562 0.250
0.562 0.510 0.750
0.948 0.438 0.750
0.052 0.490 0.250
0.819 0.000 0.500
0.819 0.000 0.000
0.000 0.819 0.500
0.181 0.181 0.500
0.181 0.181 0.000
0.000 0.819 0.000
0.667 0.333 0.250
0.333 0.667 0.750
0.815 0.541 0.479
0.541 0.815 0.521
0.992 0.177 0.750
0.273 0.459 0.521
0.008 0.185 0.250
0.727 0.185 0.479
0.815 0.823 0.250
0.185 0.727 0.521
0.459 0.273 0.479
0.815 0.541 0.021
0.459 0.273 0.021
0.185 0.008 0.750
0.177 0.992 0.250
0.185 0.727 0.979
0.823 0.815 0.750
0.727 0.185 0.021
0.273 0.459 0.979
0.541 0.815 0.979
```

Computed properties:
DOS(E_F): 11.728 states/eV/cell
DFT formation energy: -0.408 eV/atom

Compound: Er2Si3Ni
Source: the Alexandria database
Functional: PBE
Structure: optimized geometry

Structure (POSCAR):
```
Er2Si3Ni
1.0
-1.258 3.778 -0.332
-2.655 -2.981 0.188
-0.160 0.638 7.858
Er Si Ni
2 3 1
Direct
0.333 0.667 0.742
0.333 0.667 0.258
0.667 0.333 0.000
0.000 0.000 0.500
0.000 0.000 0.000
0.667 0.333 0.500
```

Computed properties:
DOS(E_F): 8.200 states/eV/cell
formation energy from raw total energies: -65 kJ/mol of atoms

Compound: LaSmMgZr
Source: the Alexandria database
Functional: PBE
Structure: optimized geometry

Structure (POSCAR):
```
LaSmMgZr
1.0
5.474 0.000 0.000
2.737 4.741 0.000
2.737 1.580 4.470
Mg Zr Sm La
1 1 1 1
Direct
0.750 0.750 0.750
0.250 0.250 0.250
0.500 0.500 0.500
0.000 0.000 0.000
```

Computed properties:
DOS(E_F): 4.541 states/eV/cell
DFT formation energy: 0.122 eV/atom

Compound: Li2Cu8Ni
Source: the Alexandria database
Functional: PBE
Structure: optimized geometry

Structure (POSCAR):
```
Li2Cu8Ni
1.0
-3.511 0.277 0.925
0.342 -4.935 2.778
3.303 4.329 4.075
Li Cu Ni
2 8 1
Direct
0.774 0.360 0.548
0.226 0.640 0.452
0.412 0.553 0.824
0.680 0.906 0.360
0.867 0.828 0.734
0.956 0.273 0.911
0.133 0.172 0.266
0.320 0.094 0.640
0.588 0.447 0.176
0.044 0.727 0.089
0.500 0.000 0.000
```

Computed properties:
DOS(E_F): 3.119 states/eV/cell
DFT formation energy: -0.027 eV/atom

Compound: MgIrPb2
Source: the Alexandria database
Functional: PBE
Structure: optimized geometry

Structure (POSCAR):
```
MgIrPb2
1.0
5.014 0.000 0.000
2.507 4.342 0.000
2.507 1.447 4.094
Ir Mg Pb
1 1 2
Direct
0.500 0.500 0.500
0.750 0.750 0.750
0.000 0.000 0.000
0.250 0.250 0.250
```

Computed properties:
DOS(E_F): 2.529 states/eV/cell
DFT formation energy: 0.301 eV/atom

Compound: ZrTi3Te
Source: the Alexandria database
Functional: PBE
Structure: optimized geometry

Structure (POSCAR):
```
ZrTi3Te
1.0
4.899 0.000 0.000
0.000 4.899 0.000
0.000 0.000 4.899
Te Zr Ti
1 1 3
Direct
0.500 0.500 0.500
0.000 0.000 0.000
0.000 0.500 0.000
0.000 0.000 0.500
0.500 0.000 0.000
```

Computed properties:
DOS(E_F): 6.557 states/eV/cell
formation energy from raw total energies: 96 kJ/mol of atoms

Compound: ZnSi2Se
Source: the Alexandria database
Functional: PBE
Structure: optimized geometry

Structure (POSCAR):
```
ZnSi2Se
1.0
-2.740 4.719 -1.385
-4.064 2.595 -2.906
-4.695 1.309 2.258
Se Si Zn
1 2 1
Direct
0.310 0.310 0.253
0.086 0.086 0.714
0.669 0.669 0.984
0.435 0.435 0.549
```

Computed properties:
DOS(E_F): 0.900 states/eV/cell
formation energy from raw total energies: 28 kJ/mol of atoms

Compound: RbTiO2F
Source: the Alexandria database
Functional: PBE
Structure: optimized geometry

Structure (POSCAR):
```
RbTiO2F
1.0
-2.297 -2.416 -2.055
3.167 -1.887 -1.320
-0.195 -2.689 3.378
F O Rb Ti
1 2 1 1
Direct
0.000 0.000 0.500
0.000 0.500 0.000
0.500 0.000 0.000
0.500 0.500 0.500
0.000 0.000 0.000
```

Computed properties:
formation energy from raw total energies: -260 kJ/mol of atoms

Compound: MnTeAs4
Source: the Alexandria database
Functional: PBE
Structure: optimized geometry

Structure (POSCAR):
```
MnTeAs4
1.0
2.486 -2.528 -4.402
3.675 -4.208 0.863
-1.400 -5.301 -1.375
Mn Te As
1 1 4
Direct
0.750 0.750 0.750
0.000 0.000 0.000
0.871 0.376 0.376
0.376 0.376 0.871
0.376 0.871 0.376
0.376 0.376 0.376
```

Computed properties:
DOS(E_F): 3.327 states/eV/cell
formation energy from raw total energies: 53 kJ/mol of atoms

Compound: FeAsSe2
Source: the Alexandria database
Functional: PBE
Structure: optimized geometry

Structure (POSCAR):
```
FeAsSe2
1.0
-5.747 1.621 -0.367
-0.936 -2.066 5.536
-2.067 4.763 4.660
As Fe Se
2 2 4
Direct
0.000 0.000 0.000
0.750 0.250 0.500
0.500 0.500 0.000
0.250 0.750 0.500
0.583 0.125 0.250
0.167 0.625 0.250
0.375 0.417 0.750
0.875 0.833 0.750
```

Computed properties:
DOS(E_F): 4.497 states/eV/cell
formation energy from raw total energies: 15 kJ/mol of atoms

Compound: Mg3ZrCo
Source: the Alexandria database
Functional: PBE
Structure: optimized geometry

Structure (POSCAR):
```
Mg3ZrCo
1.0
-4.284 0.771 -1.715
-0.154 -4.397 -1.591
-1.874 -1.400 4.051
Mg Co Zr
3 1 1
Direct
0.000 0.500 0.000
0.000 0.000 0.500
0.500 0.000 0.000
0.000 0.000 0.000
0.500 0.500 0.500
```

Computed properties:
DOS(E_F): 4.185 states/eV/cell
DFT formation energy: 0.413 eV/atom

Compound: CeNd2PaAs4
Source: the Alexandria database
Functional: PBE
Structure: optimized geometry

Structure (POSCAR):
```
CeNd2PaAs4
1.0
-2.873 -2.486 1.808
1.797 -5.394 -4.561
4.130 -0.414 5.992
Ce Nd Pa As
1 2 1 4
Direct
0.500 0.500 0.000
0.500 0.000 0.500
0.000 0.500 0.500
0.000 0.000 0.000
0.500 0.241 0.238
0.500 0.759 0.762
0.000 0.247 0.760
0.000 0.753 0.240
```

Computed properties:
DOS(E_F): 10.160 states/eV/cell
DFT formation energy: -1.382 eV/atom

Number 1: total magnetic moment 0.00 μB/atom. Number 2: total magnetic moment 1.31 μB/atom. Number 3: total magnetic moment 0.08 μB/atom. Number 4: total magnetic moment 0.00 μB/atom. Number 5: total magnetic moment 0.11 μB/atom. Number 6: total magnetic moment 0.00 μB/atom. Number 7: total magnetic moment 0.00 μB/atom. Number 8: total magnetic moment 0.00 μB/atom. Number 9: total magnetic moment 0.00 μB/atom. Number 10: total magnetic moment 0.00 μB/atom. Number 11: total magnetic moment 0.42 μB/atom. Number 12: total magnetic moment 0.00 μB/atom. Number 13: total magnetic moment 0.00 μB/atom. Number 14: total magnetic moment 0.42 μB/atom. Number 15: total magnetic moment 0.00 μB/atom. Number 16: total magnetic moment 0.00 μB/atom. Number 17: total magnetic moment 0.71 μB/atom. Number 18: total magnetic moment 0.75 μB/atom. Number 19: total magnetic moment 0.04 μB/atom. Number 20: total magnetic moment 0.11 μB/atom.